1.
This record from Alexandria via LeMat-Bulk describes an optimized crystal structure of CsTl12Pd5. The functional is PBE.

Properties
Its energy relative to the elements is -0.054 eV/atom. The density of states at the Fermi level is 9.85 states/eV/f.u. Its crystal system is orthorhombic.

Cell: 8.6478 8.6478 8.6478 Å, 95.63 116.93 116.68°
Fractional positions:
Cs 0.0000 0.5000 0.5000
Tl 0.5510 0.8225 0.7285
Tl 0.4490 0.1775 0.2715
Tl 0.9060 0.1775 0.7285
Tl 0.0940 0.8225 0.2715
Tl 0.6879 0.6862 0.3741
Tl 0.3121 0.3138 0.6259
Tl 0.3121 0.6862 0.9982
Tl 0.6879 0.3138 0.0018
Tl 0.8150 0.5916 0.7765
Tl 0.1850 0.4084 0.2235
Tl 0.1850 0.9615 0.7765
Tl 0.8150 0.0385 0.2235
Pd 0.6593 0.6593 0.0000
Pd 0.3407 0.3407 0.0000
Pd 0.5000 0.1187 0.6187
Pd 0.5000 0.8813 0.3813
Pd 0.0000 0.0000 0.0000


2.
This record from Alexandria via LeMat-Bulk describes an optimized crystal structure of BeNi5B. The functional is PBE.

Properties
Its energy relative to the elements is -0.070 eV/atom. The density of states at the Fermi level is 6.30 states/eV/f.u. Its crystal system is monoclinic.

Cell: 4.6159 4.6159 7.8894 Å, 74.73 74.73 61.58°
Fractional positions:
Be 0.4303 0.5697 0.2500
Be 0.5697 0.4303 0.7500
Ni 0.9349 0.6175 0.1379
Ni 0.2191 0.5170 0.5432
Ni 0.6175 0.9349 0.6379
Ni 0.9317 0.0683 0.2500
Ni 0.4830 0.7809 0.9568
Ni 0.5170 0.2191 0.0432
Ni 0.0683 0.9317 0.7500
Ni 0.3825 0.0651 0.3621
Ni 0.7809 0.4830 0.4568
Ni 0.0651 0.3825 0.8621
B 0.0000 0.0000 0.0000
B 0.0000 0.0000 0.5000


3.
This record from Alexandria via LeMat-Bulk describes an optimized crystal structure of Hf2Ti3N4. The functional is PBE.

Properties
The value obtained for the uncorrected formation energy is -1.570 eV/atom. The density of states at the Fermi level is 5.86 states/eV/f.u. Its crystal system is monoclinic.

Cell: 3.1084 3.1084 12.4662 Å, 90.03 89.97 120.01°
Fractional positions:
Hf 0.6670 0.3330 0.7951
Hf 0.3330 0.6670 0.2049
Ti 0.6659 0.3341 0.4050
Ti 0.0000 0.0000 0.0000
Ti 0.3341 0.6659 0.5950
N 0.3336 0.6664 0.9020
N 0.9995 0.0005 0.3110
N 0.0005 0.9995 0.6890
N 0.6664 0.3336 0.0980


4.
This record from Alexandria via LeMat-Bulk describes an optimized crystal structure of RbHoTiSe4. The functional is PBE.

Properties
The value obtained for the uncorrected formation energy is -1.427 eV/atom. Its crystal system is monoclinic.

Cell: 6.8228 7.0981 9.5270 Å, 90.00 108.56 90.00°
Fractional positions:
Rb 0.7435 0.7500 0.9426
Rb 0.2565 0.2500 0.0574
Ho 0.7895 0.7500 0.4556
Ho 0.2105 0.2500 0.5444
Ti 0.2362 0.7500 0.3364
Ti 0.7638 0.2500 0.6636
Se 0.0109 0.5057 0.7009
Se 0.9891 0.0057 0.2991
Se 0.9891 0.4943 0.2991
Se 0.0109 0.9943 0.7009
Se 0.4436 0.7500 0.1787
Se 0.5564 0.2500 0.8213
Se 0.4542 0.7500 0.5819
Se 0.5458 0.2500 0.4181


5.
This record from Alexandria via LeMat-Bulk describes an optimized crystal structure of Sc12Si3O5. The functional is PBE.

Properties
The value obtained for the uncorrected formation energy is -1.678 eV/atom. The density of states at the Fermi level is 13.73 states/eV/f.u. Its crystal system is cubic.

Cell: 12.1895 12.1895 12.1895 Å, 109.47 109.47 109.47°
Fractional positions:
Si 0.7500 0.3750 0.1250
Si 0.8750 0.7500 0.1250
Si 0.3750 0.7500 0.6250
Si 0.2500 0.1250 0.3750
Si 0.8750 0.1250 0.2500
Si 0.3750 0.6250 0.2500
Si 0.6250 0.3750 0.7500
Si 0.1250 0.8750 0.7500
Si 0.7500 0.8750 0.6250
Si 0.6250 0.2500 0.3750
Si 0.1250 0.2500 0.8750
Si 0.2500 0.6250 0.8750
O 0.1250 0.3750 0.2500
O 0.0000 0.5000 0.0000
O 0.0000 0.0000 0.0000
O 0.3750 0.2500 0.1250
O 0.5000 0.0000 0.5000
O 0.5000 0.5000 0.0000
O 0.1250 0.7500 0.3750
O 0.7500 0.1250 0.8750
O 0.7500 0.6250 0.3750
O 0.3750 0.1250 0.7500
O 0.6250 0.8750 0.2500
O 0.5000 0.5000 0.5000
O 0.5000 0.0000 0.0000
O 0.0000 0.0000 0.5000
O 0.2500 0.3750 0.6250
O 0.2500 0.8750 0.1250
O 0.0000 0.5000 0.5000
O 0.8750 0.2500 0.6250
O 0.6250 0.7500 0.8750
O 0.8750 0.6250 0.7500
Sc 0.7025 0.1138 0.0174
Sc 0.3149 0.5174 0.4037
Sc 0.9826 0.3862 0.2975
Sc 0.5174 0.2025 0.1138
Sc 0.5887 0.7025 0.6851
Sc 0.9826 0.5963 0.1851
Sc 0.3149 0.7975 0.4113
Sc 0.0963 0.9113 0.1138
Sc 0.5963 0.9826 0.6851
Sc 0.7025 0.5887 0.1851
Sc 0.7975 0.4826 0.3862
Sc 0.8149 0.9037 0.0174
Sc 0.1138 0.7025 0.5174
Sc 0.3862 0.4037 0.0887
Sc 0.0887 0.9037 0.3862
Sc 0.4113 0.1138 0.5963
Sc 0.0887 0.1851 0.2025
Sc 0.4826 0.6851 0.0963
Sc 0.8149 0.9113 0.2975
Sc 0.1138 0.4113 0.0963
Sc 0.3862 0.9826 0.7975
Sc 0.5963 0.6138 0.4113
Sc 0.9037 0.8149 0.5174
Sc 0.7975 0.3149 0.9113
Sc 0.4037 0.3862 0.5887
Sc 0.0963 0.1851 0.4826
Sc 0.2025 0.6851 0.0887
Sc 0.1851 0.0887 0.7025
Sc 0.6138 0.0174 0.2025
Sc 0.8862 0.5887 0.9037
Sc 0.5174 0.3149 0.9037
Sc 0.5887 0.8862 0.4037
Sc 0.9113 0.8149 0.7975
Sc 0.9113 0.0963 0.6138
Sc 0.8862 0.2975 0.4826
Sc 0.1851 0.0963 0.9826
Sc 0.6138 0.5963 0.9113
Sc 0.4037 0.0174 0.3149
Sc 0.2975 0.4113 0.8149
Sc 0.2025 0.5174 0.6138
Sc 0.9037 0.0887 0.8862
Sc 0.6851 0.2025 0.5887
Sc 0.4826 0.7975 0.8862
Sc 0.0174 0.4037 0.8149
Sc 0.4113 0.2975 0.3149
Sc 0.0174 0.6138 0.7025
Sc 0.6851 0.4826 0.5963
Sc 0.2975 0.8862 0.9826


6.
This record from Alexandria via LeMat-Bulk describes an optimized crystal structure of Tl4In3Hg16. The functional is PBE.

Properties
Its energy relative to the elements is 0.000 eV/atom. The density of states at the Fermi level is 5.94 states/eV/f.u. Its crystal system is tetragonal.

Cell: 7.6557 7.6557 11.2732 Å, 90.00 90.00 90.00°
Fractional positions:
Tl 0.5000 0.0000 0.8243
Tl 0.0000 0.5000 0.1757
Tl 0.0000 0.5000 0.8243
Tl 0.5000 0.0000 0.1757
In 0.0000 0.5000 0.5000
In 0.0000 0.0000 0.0000
In 0.5000 0.0000 0.5000
Hg 0.0000 0.0000 0.7312
Hg 0.2793 0.2793 0.0000
Hg 0.5000 0.5000 0.8098
Hg 0.7207 0.2793 0.0000
Hg 0.5000 0.5000 0.1902
Hg 0.7207 0.7207 0.0000
Hg 0.0000 0.0000 0.2688
Hg 0.7308 0.7308 0.6410
Hg 0.7308 0.2692 0.3590
Hg 0.2692 0.2692 0.6410
Hg 0.2692 0.7308 0.3590
Hg 0.2793 0.7207 0.0000
Hg 0.7308 0.7308 0.3590
Hg 0.7308 0.2692 0.6410
Hg 0.2692 0.2692 0.3590
Hg 0.2692 0.7308 0.6410


7.
This record from Alexandria via LeMat-Bulk describes an optimized crystal structure of CePrNd2. The functional is PBE.

Properties
Its energy relative to the elements is 0.205 eV/atom. The density of states at the Fermi level is 12.51 states/eV/f.u. Its crystal system is cubic.

Cell: 5.8189 5.8189 5.8189 Å, 60.00 60.00 60.00°
Each line ends with the local moment (μB).
Fractional positions:
Pr 0.5000 0.5000 0.5000  0.20
Nd 0.2500 0.2500 0.2500  0.20
Nd 0.7500 0.7500 0.7500  0.20
Ce 0.0000 0.0000 0.0000  1.03


8.
This record from Alexandria via LeMat-Bulk describes an optimized crystal structure of CdFeAg2. The functional is PBE.

Properties
Its energy relative to the elements is 0.278 eV/atom. The density of states at the Fermi level is 2.54 states/eV/f.u. Its crystal system is monoclinic.

Cell: 4.6067 2.8024 5.4194 Å, 80.89 90.00 90.00°
Each line ends with the local moment (μB).
Fractional positions:
Ag 0.0000 0.9618 0.9861  0.00
Ag 0.0000 0.5382 0.5139  0.00
Cd 0.5000 0.2500 0.2500  -0.04
Fe 0.5000 0.7500 0.7500  2.86


Number 8 is which compound?
CdFeAg2


Repeat the fourth record exactly.
This record from Alexandria via LeMat-Bulk describes an optimized crystal structure of RbHoTiSe4. The functional is PBE.

Properties
The value obtained for the uncorrected formation energy is -1.427 eV/atom. Its crystal system is monoclinic.

Cell: 6.8228 7.0981 9.5270 Å, 90.00 108.56 90.00°
Fractional positions:
Rb 0.7435 0.7500 0.9426
Rb 0.2565 0.2500 0.0574
Ho 0.7895 0.7500 0.4556
Ho 0.2105 0.2500 0.5444
Ti 0.2362 0.7500 0.3364
Ti 0.7638 0.2500 0.6636
Se 0.0109 0.5057 0.7009
Se 0.9891 0.0057 0.2991
Se 0.9891 0.4943 0.2991
Se 0.0109 0.9943 0.7009
Se 0.4436 0.7500 0.1787
Se 0.5564 0.2500 0.8213
Se 0.4542 0.7500 0.5819
Se 0.5458 0.2500 0.4181